Y4Au3: optimized geometry, PBE.

The calculation puts the formation energy at -0.602 eV per atom. The calculation puts the total energy at -5.70 eV per atom. The relative energy among the computed polymorphs comes out at 0 meV per atom.

It has space group I4/mmm (No. 139), with a = 3.741 Å, b = 3.741 Å, c = 25.492 Å, α = 90.00°, β = 90.00° and γ = 90.00°. Symmetry generates all atoms from Y at (0.000, 0.000, 0.067), Y at (0.000, 0.000, 0.337), Au at (0.000, 0.000, 0.216) and Au at (0.000, 0.000, 0.500).